Pr3Nd5Sb8 GGA-PBE optimized geometry; volume = 33.0 A^3/atom; uncorrected energy = -5.638 eV per atom; formation energy without anion corrections = -1.190 eV per atom
1.0
4.5377 2.6198 7.4090
-4.5377 2.6198 7.4090
0.0000 -5.2396 7.4090
Pr Nd Sb
3 5 8
direct
0.0000 0.5000 0.5000 Pr
0.5000 0.0000 0.5000 Pr
0.5000 0.5000 0.0000 Pr
0.0000 0.0000 0.0000 Nd
0.0000 0.0000 0.5000 Nd
0.0000 0.5000 0.0000 Nd
0.5000 0.0000 0.0000 Nd
0.5000 0.5000 0.5000 Nd
0.2493 0.2493 0.2493 Sb
0.2487 0.7500 0.7500 Sb
0.2500 0.2500 0.7513 Sb
0.2500 0.7513 0.2500 Sb
0.7500 0.2487 0.7500 Sb
0.7500 0.7500 0.2487 Sb
0.7513 0.2500 0.2500 Sb
0.7507 0.7507 0.7507 Sb